[1]
The following is a PBE calculation of a relaxed TmPb3 crystal, from Alexandria via LeMat-Bulk.

a b c (Å): 4.618 4.618 6.337
angles (deg): 111.37 111.37 90.00
Sites, in units of the cell vectors:
1 Pb 0.500 0.500 0.000
2 Pb 0.750 0.250 0.500
3 Pb 0.250 0.750 0.500
4 Tm 0.000 0.000 0.000

Its calculated formation energy is -0.1921 eV per atom. The calculation puts the size of the total moment at 0.00 μB/atom.

[2]
The following is a PBE calculation of a relaxed Tm8Pb crystal, from Alexandria via LeMat-Bulk.

a b c (Å): 4.790 7.819 7.819
angles (deg): 84.62 72.16 72.16
Sites, in units of the cell vectors:
1 Tm 0.664 0.672 0.000
2 Tm 0.664 0.000 0.672
3 Tm 0.336 0.328 0.000
4 Tm 0.000 0.337 0.663
5 Tm 0.336 0.000 0.328
6 Tm 0.337 0.663 0.663
7 Tm 0.663 0.337 0.337
8 Tm 0.000 0.663 0.337
9 Pb 0.000 0.000 0.000

Its calculated formation energy is -0.0886 eV per atom. The calculation puts the size of the total moment at 0.00 μB/atom.

[3]
The following is a PBE calculation of a relaxed Tm2Pb3 crystal, from Alexandria via LeMat-Bulk.

a b c (Å): 4.358 11.062 12.139
angles (deg): 90.00 90.00 90.00
Sites, in units of the cell vectors:
1 Tm 0.250 0.258 0.990
2 Tm 0.250 0.242 0.490
3 Tm 0.750 0.422 0.725
4 Tm 0.250 0.922 0.775
5 Tm 0.250 0.578 0.275
6 Tm 0.750 0.078 0.225
7 Tm 0.750 0.742 0.010
8 Tm 0.750 0.758 0.510
9 Pb 0.750 0.789 0.259
10 Pb 0.750 0.437 0.422
11 Pb 0.250 0.211 0.741
12 Pb 0.250 0.937 0.078
13 Pb 0.250 0.946 0.403
14 Pb 0.750 0.063 0.922
15 Pb 0.750 0.446 0.097
16 Pb 0.250 0.554 0.903
17 Pb 0.750 0.054 0.597
18 Pb 0.250 0.289 0.241
19 Pb 0.750 0.711 0.759
20 Pb 0.250 0.563 0.578

Its calculated formation energy is -0.2588 eV per atom. The calculation puts the size of the total moment at 0.00 μB/atom.

[4]
The following is a PBE calculation of a relaxed Tm2Pb3 crystal, from Alexandria via LeMat-Bulk.

a b c (Å): 6.434 6.434 8.767
angles (deg): 101.75 101.75 116.42
Sites, in units of the cell vectors:
1 Pb 0.507 0.007 0.015
2 Pb 0.757 0.757 0.515
3 Pb 0.632 0.382 0.765
4 Pb 0.132 0.882 0.265
5 Pb 0.132 0.382 0.265
6 Pb 0.132 0.382 0.765
7 Tm 0.553 0.553 0.107
8 Tm 0.711 0.211 0.423
9 Tm 0.961 0.961 0.923
10 Tm 0.303 0.803 0.607

Its calculated formation energy is -0.2432 eV per atom. The calculation puts the size of the total moment at 0.00 μB/atom.

[5]
The following is a PBE calculation of a relaxed TmPb5 crystal, from Alexandria via LeMat-Bulk.

a b c (Å): 4.699 4.799 8.305
angles (deg): 106.79 90.00 90.00
Sites, in units of the cell vectors:
1 Pb 0.000 0.657 0.314
2 Pb 0.500 0.500 0.000
3 Pb 0.000 0.343 0.686
4 Pb 0.500 0.834 0.667
5 Pb 0.500 0.166 0.333
6 Tm 0.000 0.000 0.000

Its calculated formation energy is -0.1128 eV per atom. The calculation puts the size of the total moment at 0.00 μB/atom.

[6]
The following is a PBE calculation of a relaxed Tm4Pb5 crystal, from Alexandria via LeMat-Bulk.

a b c (Å): 6.503 9.451 9.451
angles (deg): 120.00 90.00 90.00
Sites, in units of the cell vectors:
1 Pb 0.750 0.288 0.000
2 Pb 0.500 0.667 0.333
3 Pb 0.750 0.000 0.288
4 Pb 0.250 0.712 0.000
5 Pb 0.250 0.288 0.288
6 Pb 0.000 0.667 0.333
7 Pb 0.250 0.000 0.712
8 Pb 0.000 0.333 0.667
9 Pb 0.750 0.712 0.712
10 Pb 0.500 0.333 0.667
11 Tm 0.250 0.000 0.381
12 Tm 0.750 0.000 0.619
13 Tm 0.500 0.000 0.000
14 Tm 0.250 0.619 0.619
15 Tm 0.000 0.000 0.000
16 Tm 0.750 0.619 0.000
17 Tm 0.250 0.381 0.000
18 Tm 0.750 0.381 0.381

Its calculated formation energy is -0.3496 eV per atom. The calculation puts the size of the total moment at 0.00 μB/atom.

[7]
The following is a PBE calculation of a relaxed TmPb5 crystal, from Alexandria via LeMat-Bulk.

a b c (Å): 5.791 5.659 6.258
angles (deg): 90.00 117.56 90.00
Sites, in units of the cell vectors:
1 Pb 0.295 0.000 0.589
2 Pb 0.127 0.500 0.255
3 Pb 0.650 0.000 0.300
4 Pb 0.472 0.500 0.944
5 Pb 0.817 0.500 0.634
6 Tm 0.972 0.000 0.944

Its calculated formation energy is -0.0612 eV per atom. The calculation puts the size of the total moment at 0.00 μB/atom.

[8]
The following is a PBE calculation of a relaxed TmPb3 crystal, from Alexandria via LeMat-Bulk.

a b c (Å): 3.564 5.725 6.618
angles (deg): 115.63 105.62 90.00
Sites, in units of the cell vectors:
1 Pb 0.254 0.599 0.508
2 Pb 0.500 0.482 0.000
3 Pb 0.746 0.091 0.492
4 Tm 0.000 0.994 0.000

Its calculated formation energy is -0.1748 eV per atom. The calculation puts the size of the total moment at 0.00 μB/atom.

[9]
The following is a PBE calculation of a relaxed TmPb3 crystal, from Alexandria via LeMat-Bulk.

a b c (Å): 4.852 4.866 4.874
angles (deg): 90.00 90.00 90.00
Sites, in units of the cell vectors:
1 Tm 0.500 0.000 0.583
2 Pb 0.000 0.500 0.583
3 Pb 0.000 0.000 0.083
4 Pb 0.500 0.500 0.083

Its calculated formation energy is -0.2170 eV per atom. The calculation puts the size of the total moment at 0.00 μB/atom.

[10]
The following is a PBE calculation of a relaxed Tm4Pb5 crystal, from Alexandria via LeMat-Bulk.

a b c (Å): 4.498 7.938 7.938
angles (deg): 85.40 73.54 73.54
Sites, in units of the cell vectors:
1 Pb 0.000 0.696 0.304
2 Pb 0.696 0.304 0.304
3 Pb 0.000 0.304 0.696
4 Pb 0.000 0.000 0.000
5 Pb 0.304 0.696 0.696
6 Tm 0.334 0.333 0.000
7 Tm 0.666 0.667 0.000
8 Tm 0.334 0.000 0.333
9 Tm 0.666 0.000 0.667

Its calculated formation energy is -0.2483 eV per atom. The calculation puts the size of the total moment at 0.00 μB/atom.

[11]
The following is a PBE calculation of a relaxed Tm3Pb2 crystal, from Alexandria via LeMat-Bulk.

a b c (Å): 5.201 8.360 11.132
angles (deg): 91.47 90.00 108.12
Sites, in units of the cell vectors:
1 Tm 0.833 0.667 0.667
2 Tm 0.839 0.678 0.994
3 Tm 0.494 0.989 0.673
4 Tm 0.828 0.655 0.339
5 Tm 0.500 0.000 0.000
6 Tm 0.161 0.322 0.006
7 Tm 0.172 0.345 0.661
8 Tm 0.167 0.333 0.333
9 Tm 0.506 0.011 0.327
10 Pb 0.347 0.693 0.487
11 Pb 0.653 0.307 0.513
12 Pb 0.680 0.360 0.154
13 Pb 0.013 0.027 0.820
14 Pb 0.987 0.973 0.180
15 Pb 0.320 0.640 0.846

Its calculated formation energy is -0.2857 eV per atom. The calculation puts the size of the total moment at 0.00 μB/atom.

[12]
The following is a PBE calculation of a relaxed Tm3Pb2 crystal, from Alexandria via LeMat-Bulk.

a b c (Å): 6.127 6.127 8.819
angles (deg): 110.31 110.31 90.00
Sites, in units of the cell vectors:
1 Tm 0.507 0.007 0.015
2 Tm 0.132 0.882 0.265
3 Tm 0.132 0.382 0.765
4 Tm 0.757 0.757 0.515
5 Tm 0.132 0.382 0.265
6 Tm 0.632 0.382 0.765
7 Pb 0.707 0.207 0.414
8 Pb 0.308 0.808 0.616
9 Pb 0.957 0.957 0.913
10 Pb 0.558 0.558 0.116

Its calculated formation energy is -0.3306 eV per atom. The calculation puts the size of the total moment at 0.00 μB/atom.

[13]
The following is a PBE calculation of a relaxed TmVPb crystal, from Alexandria via LeMat-Bulk.

a b c (Å): 3.395 3.395 11.648
angles (deg): 90.00 90.00 90.00
Sites, in units of the cell vectors:
1 V 0.500 0.000 0.046
2 V 0.000 0.500 0.954
3 Tm 0.500 0.000 0.393
4 Tm 0.000 0.500 0.607
5 Pb 0.500 0.000 0.801
6 Pb 0.000 0.500 0.199

Its calculated formation energy is 0.0171 eV per atom. The calculation puts the size of the total moment at 0.00 μB/atom.

[14]
The following is a PBE calculation of a relaxed YTm7Pb4 crystal, from Alexandria via LeMat-Bulk.

a b c (Å): 5.692 10.303 6.999
angles (deg): 80.28 66.01 73.96
Sites, in units of the cell vectors:
1 Tm 0.784 0.899 0.533
2 Tm 0.656 0.431 0.257
3 Tm 0.344 0.569 0.743
4 Tm 0.038 0.625 0.299
5 Tm 0.500 0.000 0.000
6 Tm 0.962 0.375 0.701
7 Tm 0.216 0.101 0.467
8 Y 0.000 0.000 0.000
9 Pb 0.410 0.787 0.393
10 Pb 0.590 0.213 0.607
11 Pb 0.291 0.322 0.097
12 Pb 0.709 0.678 0.903

Its calculated formation energy is -0.0220 eV per atom. The calculation puts the size of the total moment at 0.00 μB/atom.

[15]
The following is a PBE calculation of a relaxed Y2TmPb crystal, from Alexandria via LeMat-Bulk.

a b c (Å): 4.842 4.869 4.869
angles (deg): 90.00 90.00 90.00
Last column: magnetic moment on the atom in μB.
Sites, in units of the cell vectors:
1 Y 0.000 0.000 0.500  0.20
2 Y 0.000 0.500 0.000  0.20
3 Tm 0.500 0.500 0.500  0.28
4 Pb 0.500 0.000 0.000  -0.01

Its calculated formation energy is -0.2678 eV per atom. The calculation puts the size of the total moment at 0.25 μB/atom.

[16]
The following is a PBE calculation of a relaxed YTmPb2 crystal, from Alexandria via LeMat-Bulk.

a b c (Å): 3.540 3.540 8.886
angles (deg): 90.00 90.00 90.00
Sites, in units of the cell vectors:
1 Pb 0.000 0.000 0.253
2 Pb 0.000 0.000 0.747
3 Tm 0.500 0.500 0.500
4 Y 0.500 0.500 0.000

Its calculated formation energy is -0.4149 eV per atom. The calculation puts the size of the total moment at 0.00 μB/atom.

[17]
The following is a PBE calculation of a relaxed YTm2Pb2 crystal, from Alexandria via LeMat-Bulk.

a b c (Å): 4.919 6.507 9.517
angles (deg): 90.00 104.98 90.00
Sites, in units of the cell vectors:
1 Tm 0.186 0.525 0.371
2 Tm 0.814 0.025 0.629
3 Tm 0.999 0.772 0.999
4 Tm 0.001 0.272 0.001
5 Pb 0.796 0.526 0.593
6 Pb 0.574 0.522 0.148
7 Pb 0.204 0.026 0.407
8 Pb 0.426 0.022 0.852
9 Y 0.608 0.021 0.217
10 Y 0.392 0.521 0.783

Its calculated formation energy is -0.4177 eV per atom. The calculation puts the size of the total moment at 0.00 μB/atom.

[18]
The following is a PBE calculation of a relaxed Y2Tm3Pb2 crystal, from Alexandria via LeMat-Bulk.

a b c (Å): 4.433 6.387 8.483
angles (deg): 108.96 90.00 110.31
Sites, in units of the cell vectors:
1 Pb 0.173 0.345 0.198
2 Pb 0.827 0.655 0.802
3 Y 0.869 0.737 0.218
4 Y 0.131 0.263 0.782
5 Tm 0.379 0.758 0.563
6 Tm 0.500 0.000 0.000
7 Tm 0.621 0.242 0.437

Its calculated formation energy is -0.3180 eV per atom. The calculation puts the size of the total moment at 0.00 μB/atom.

[19]
The following is a PBE calculation of a relaxed YTm5Pb4 crystal, from Alexandria via LeMat-Bulk.

a b c (Å): 3.631 9.696 8.921
angles (deg): 92.68 101.74 90.00
Sites, in units of the cell vectors:
1 Tm 0.808 0.611 0.616
2 Tm 0.156 0.752 0.311
3 Tm 0.844 0.248 0.689
4 Tm 0.192 0.389 0.384
5 Tm 0.500 0.500 0.000
6 Pb 0.318 0.934 0.635
7 Pb 0.975 0.746 0.950
8 Pb 0.025 0.254 0.050
9 Pb 0.682 0.066 0.365
10 Y 0.500 0.000 0.000

Its calculated formation energy is -0.1803 eV per atom. The calculation puts the size of the total moment at 0.00 μB/atom.

[20]
The following is a PBE calculation of a relaxed YTm12Pb7 crystal, from Alexandria via LeMat-Bulk.

a b c (Å): 9.288 9.288 9.288
angles (deg): 110.25 110.25 110.25
Sites, in units of the cell vectors:
1 Tm 0.171 0.504 0.504
2 Tm 0.721 0.999 0.279
3 Tm 0.504 0.171 0.504
4 Tm 0.279 0.001 0.721
5 Tm 0.001 0.721 0.279
6 Tm 0.829 0.496 0.496
7 Tm 0.496 0.829 0.496
8 Tm 0.496 0.496 0.829
9 Tm 0.999 0.279 0.721
10 Tm 0.279 0.721 0.999
11 Tm 0.721 0.279 0.001
12 Tm 0.504 0.504 0.171
13 Pb 0.131 0.436 0.131
14 Pb 0.869 0.564 0.869
15 Pb 0.131 0.131 0.436
16 Pb 0.869 0.869 0.564
17 Pb 0.500 0.500 0.500
18 Pb 0.436 0.131 0.131
19 Pb 0.564 0.869 0.869
20 Y 0.000 0.000 0.000

Its calculated formation energy is -0.2277 eV per atom. The calculation puts the size of the total moment at 0.00 μB/atom.

[21]
The following is a PBE calculation of a relaxed Y3TmPb12 crystal, from Alexandria via LeMat-Bulk.

a b c (Å): 4.914 4.914 19.263
angles (deg): 90.00 90.00 90.00
Sites, in units of the cell vectors:
1 Pb 0.500 0.500 0.751
2 Pb 0.500 0.000 0.625
3 Pb 0.000 0.500 0.375
4 Pb 0.500 0.000 0.375
5 Pb 0.000 0.500 0.124
6 Pb 0.500 0.500 0.249
7 Pb 0.500 0.500 0.500
8 Pb 0.500 0.000 0.124
9 Pb 0.500 0.000 0.876
10 Pb 0.000 0.500 0.625
11 Pb 0.000 0.500 0.876
12 Pb 0.500 0.500 0.000
13 Y 0.000 0.000 0.751
14 Y 0.000 0.000 0.500
15 Y 0.000 0.000 0.249
16 Tm 0.000 0.000 0.000

Its calculated formation energy is -0.2780 eV per atom. The calculation puts the size of the total moment at 0.00 μB/atom.

[22]
The following is a PBE calculation of a relaxed Y2TmPb crystal, from Alexandria via LeMat-Bulk.

a b c (Å): 5.182 5.182 6.505
angles (deg): 66.53 66.53 60.00
Sites, in units of the cell vectors:
1 Pb 0.682 0.682 0.954
2 Tm 0.490 0.490 0.531
3 Y 0.056 0.056 0.831
4 Y 0.272 0.272 0.183

Its calculated formation energy is 0.0303 eV per atom. The calculation puts the size of the total moment at 0.00 μB/atom.

[23]
The following is a PBE calculation of a relaxed YTm8Pb2 crystal, from Alexandria via LeMat-Bulk.

a b c (Å): 6.178 8.852 8.852
angles (deg): 43.94 92.44 92.44
Sites, in units of the cell vectors:
1 Y 0.000 0.000 0.000
2 Tm 0.152 0.791 0.791
3 Tm 0.396 0.843 0.349
4 Tm 0.604 0.157 0.651
5 Tm 0.122 0.419 0.419
6 Tm 0.396 0.349 0.843
7 Tm 0.604 0.651 0.157
8 Tm 0.878 0.581 0.581
9 Tm 0.848 0.209 0.209
10 Pb 0.345 0.257 0.257
11 Pb 0.655 0.743 0.743

Its calculated formation energy is -0.0569 eV per atom. The calculation puts the size of the total moment at 0.00 μB/atom.